Record 1
# FeCu2Au meta-GGA SCAN PBEsol geometry
data_FeCu2Au
_chemical_formula_sum 'Fe1 Cu2 Au1'
_space_group_name_H-M_alt 'P 1'
_space_group_IT_number 1
_cell_length_a 3.780
_cell_length_b 3.780
_cell_length_c 4.486
_cell_angle_alpha 114.92
_cell_angle_beta 114.92
_cell_angle_gamma 90.00
loop_
_space_group_symop_operation_xyz
'x,y,z'
loop_
_atom_site_label
_atom_site_fract_x
_atom_site_fract_y
_atom_site_fract_z
_atom_site_occupancy
Fe1 0.000 0.000 0.000 1
Cu1 0.750 0.250 0.500 1
Cu2 0.250 0.750 0.500 1
Au1 0.500 0.500 0.000 1
# Total magnetic moment in Bohr magnetons per cell: 3.28
# Energy relative to the elements in eV/atom: 0.017



Record 2
# FeCu2IrAu meta-GGA SCAN PBEsol geometry
data_FeCu2IrAu
_chemical_formula_sum 'Fe1 Cu2 Ir1 Au1'
_space_group_name_H-M_alt 'P 1'
_space_group_IT_number 1
_cell_length_a 4.518
_cell_length_b 4.518
_cell_length_c 4.941
_cell_angle_alpha 90.00
_cell_angle_beta 90.00
_cell_angle_gamma 90.00
loop_
_space_group_symop_operation_xyz
'x,y,z'
loop_
_atom_site_label
_atom_site_fract_x
_atom_site_fract_y
_atom_site_fract_z
_atom_site_occupancy
Fe1 0.500 0.500 0.500 1
Ir1 0.000 0.000 0.000 1
Cu1 0.500 0.000 0.000 1
Cu2 0.000 0.500 0.000 1
Au1 0.000 0.000 0.500 1
# Total magnetic moment in Bohr magnetons per cell: 4.66
# Energy relative to the elements in eV/atom: 1.384



Record 3
# HfGaCu2Au meta-GGA SCAN PBEsol geometry
data_HfGaCu2Au
_chemical_formula_sum 'Hf1 Ga1 Cu2 Au1'
_space_group_name_H-M_alt 'P 1'
_space_group_IT_number 1
_cell_length_a 4.698
_cell_length_b 4.698
_cell_length_c 5.125
_cell_angle_alpha 90.00
_cell_angle_beta 90.00
_cell_angle_gamma 90.00
loop_
_space_group_symop_operation_xyz
'x,y,z'
loop_
_atom_site_label
_atom_site_fract_x
_atom_site_fract_y
_atom_site_fract_z
_atom_site_occupancy
Hf1 0.000 0.000 0.000 1
Cu1 0.000 0.500 0.000 1
Ga1 0.000 0.000 0.500 1
Cu2 0.500 0.000 0.000 1
Au1 0.500 0.500 0.500 1
# Total magnetic moment in Bohr magnetons per cell: 0.00
# Energy relative to the elements in eV/atom: 1.323